1.
A relaxed Dy6CdAg crystal, computed with PBE.

Lattice parameters (Å, degrees): 6.088 6.089 6.097 93.03 93.05 93.08
Space group P-1 (No. 2)
Inequivalent atoms, fractional coordinates:
Dy 0.024 0.253 0.047
Dy 0.247 0.954 0.474
Dy 0.454 0.475 0.747
Cd 0.500 0.000 0.000
Ag 0.000 0.500 0.500

---

2.
A relaxed Dy6CdAg crystal, computed with PBE.

Lattice parameters (Å, degrees): 5.065 5.065 17.746 90.00 90.00 90.00
Space group I4/mmm (No. 139)
Inequivalent atoms, fractional coordinates:
Dy 0.000 0.000 0.249
Dy 0.000 0.500 0.111
Cd 0.000 0.000 0.000
Ag 0.000 0.000 0.500

---

Most stable to least stable: 2, 1

---

1.
A relaxed DyCd3Ag crystal, computed with PBE.

Lattice parameters (Å, degrees): 6.576 4.923 6.976 90.00 91.98 90.00
Space group P2_1/m (No. 11)
Inequivalent atoms, fractional coordinates:
Dy 0.240 0.250 0.239
Cd 0.199 0.750 0.545
Cd 0.287 0.750 0.946
Cd 0.448 0.250 0.701
Ag 0.045 0.250 0.802

---

2.
A relaxed DyCd3Ag crystal, computed with PBE.

Lattice parameters (Å, degrees): 9.222 4.239 12.022 90.00 90.00 90.00
Space group Pnma (No. 62)
Inequivalent atoms, fractional coordinates:
Dy 0.180 0.250 0.002
Cd 0.067 0.250 0.403
Cd 0.081 0.750 0.198
Cd 0.148 0.750 0.799
Ag 0.135 0.250 0.631

---

Most stable to least stable: 1, 2

---

1.
A relaxed Dy4Cd3Ag crystal, computed with PBE.

Lattice parameters (Å, degrees): 3.573 4.898 11.903 90.00 90.00 90.00
Space group Pmm2 (No. 25)
Inequivalent atoms, fractional coordinates:
Dy 0.000 0.000 0.000
Dy 0.000 0.500 0.306
Dy 0.500 0.000 0.488
Dy 0.500 0.500 0.814
Cd 0.000 0.000 0.726
Cd 0.000 0.500 0.577
Cd 0.500 0.500 0.081
Ag 0.500 0.000 0.227

---

2.
A relaxed Dy4Cd3Ag crystal, computed with PBE.

Lattice parameters (Å, degrees): 3.704 3.704 14.953 90.00 90.00 90.00
Space group P4/mmm (No. 123)
Inequivalent atoms, fractional coordinates:
Dy 0.000 0.000 0.119
Dy 0.000 0.000 0.373
Cd 0.500 0.500 0.248
Cd 0.500 0.500 0.500
Ag 0.500 0.500 0.000

---

Most stable to least stable: 2, 1

---

1.
A relaxed DyCd2Ag8 crystal, computed with PBE.

Lattice parameters (Å, degrees): 15.050 4.386 6.736 90.00 107.11 90.00
Space group C2/m (No. 12)
Inequivalent atoms, fractional coordinates:
Dy 0.000 0.000 0.000
Cd 0.228 0.500 0.645
Ag 0.046 0.500 0.724
Ag 0.093 0.000 0.468
Ag 0.137 0.500 0.192
Ag 0.185 0.000 0.912

---

2.
A relaxed DyCd2Ag8 crystal, computed with PBE.

Lattice parameters (Å, degrees): 7.795 14.528 5.146 90.00 130.25 90.00
Space group C2/m (No. 12)
Inequivalent atoms, fractional coordinates:
Dy 0.000 0.000 0.000
Cd 0.000 0.319 0.500
Ag 0.000 0.203 0.000
Ag 0.006 0.500 0.755
Ag 0.228 0.134 0.727

---

Most stable to least stable: 1, 2

---

1.
A relaxed Dy4CdAg2 crystal, computed with PBE.

Lattice parameters (Å, degrees): 5.1435 5.1435 24.6190 90.00 90.00 120.00
Space group R-3m (No. 166, hexagonal axes)
Inequivalent atoms, fractional coordinates:
Dy 0.0000 0.0000 0.1175
Dy 0.0000 0.0000 0.3700
Cd 0.0000 0.0000 0.5000
Ag 0.0000 0.0000 0.2460

---

2.
A relaxed Dy4CdAg2 crystal, computed with PBE.

Lattice parameters (Å, degrees): 4.9978 4.9978 27.8720 90.00 90.00 120.00
Space group R-3m (No. 166, hexagonal axes)
Inequivalent atoms, fractional coordinates:
Dy 0.0000 0.0000 0.1205
Dy 0.0000 0.0000 0.2941
Cd 0.0000 0.0000 0.5000
Ag 0.0000 0.0000 0.4004

---

Most stable to least stable: 1, 2

---

1.
A relaxed DyCd3Ag2 crystal, computed with PBE.

Lattice parameters (Å, degrees): 17.341 4.375 7.507 90.00 109.88 90.00
Space group C2/m (No. 12)
Inequivalent atoms, fractional coordinates:
Dy 0.112 0.000 0.160
Cd 0.071 0.000 0.676
Cd 0.131 0.500 0.487
Cd 0.194 0.500 0.912
Ag 0.017 0.500 0.835
Ag 0.242 0.000 0.671

---

2.
A relaxed DyCd3Ag2 crystal, computed with PBE.

Lattice parameters (Å, degrees): 14.246 5.007 7.844 90.00 107.14 90.00
Space group C2/m (No. 12)
Inequivalent atoms, fractional coordinates:
Dy 0.137 0.000 0.218
Cd 0.085 0.000 0.767
Cd 0.111 0.500 0.564
Cd 0.189 0.500 0.996
Ag 0.016 0.500 0.185
Ag 0.245 0.000 0.614

---

Most stable to least stable: 1, 2